# 1
Density functional theory data (PBE) for a relaxed structure of Ac12Nd5Ho2.

Output
D(E_F)   28.24 states/eV/f.u.
Raw total energy   -0.155 Ha/atom
Space group   C2/m, No. 12
Crystal system   monoclinic
ρ   8.00 Mg/m³
Energy of formation   0.116 eV per atom

a b c (Å): 11.4864 11.4864 6.6665
angles (deg): 100.94 100.94 66.21
Closest atoms and distances in Å follow each position.
Atoms (fractional coordinates):
Ac  0.0442  0.5646  0.7975  4 Nd 3.64-4.05, 7 Ac 3.70-4.07, 1 Ho 3.71
Ac  0.0608  0.0608  0.2731  2 Ho 3.77, 5 Ac 3.86-4.07, 2 Nd 4.07-4.09
Ac  0.1514  0.6458  0.3715  1 Ho 3.48, 3 Nd 3.66-3.85, 4 Ac 3.70-3.89
Ac  0.3542  0.8486  0.6285  1 Ho 3.48, 3 Nd 3.66-3.85, 4 Ac 3.70-3.89
Ac  0.3928  0.3928  0.9825  4 Nd 3.60-4.00, 2 Ho 3.66, 2 Ac 3.76
Ac  0.4354  0.9558  0.2025  4 Nd 3.64-4.05, 7 Ac 3.70-4.07, 1 Ho 3.71
Ac  0.5646  0.0442  0.7975  4 Nd 3.64-4.05, 7 Ac 3.70-4.07, 1 Ho 3.71
Ac  0.6072  0.6072  0.0175  4 Nd 3.60-4.00, 2 Ho 3.66, 2 Ac 3.76
Ac  0.6458  0.1514  0.3715  1 Ho 3.48, 3 Nd 3.66-3.85, 4 Ac 3.70-3.89
Ac  0.8486  0.3542  0.6285  1 Ho 3.48, 3 Nd 3.66-3.85, 4 Ac 3.70-3.89
Ac  0.9392  0.9392  0.7269  2 Ho 3.77, 5 Ac 3.86-4.07, 2 Nd 4.07-4.09
Ac  0.9558  0.4354  0.2025  4 Nd 3.64-4.05, 7 Ac 3.70-4.07, 1 Ho 3.71
Nd  0.1865  0.1865  0.8575  9 Ac 3.73-4.09, 2 Nd 3.76-3.89
Nd  0.2866  0.2866  0.4333  8 Ac 3.64-4.04, 3 Nd 3.76-4.03
Nd  0.5000  0.5000  0.5000  6 Ac 3.60-3.66
Nd  0.7134  0.7134  0.5667  8 Ac 3.64-4.04, 3 Nd 3.76-4.03
Nd  0.8135  0.8135  0.1425  9 Ac 3.73-4.09, 2 Nd 3.76-3.89
Ho  0.2578  0.7422  0.0000  8 Ac 3.48-3.77
Ho  0.7422  0.2578  0.0000  8 Ac 3.48-3.77



# 2
Density functional theory data (PBE) for a relaxed structure of La2DyGe.

Output
Excess energy over the best structure of this formula in the dataset   0.09 eV/f.u.
D(E_F)   4.87 states/eV/f.u.
Raw total energy   -0.188 Ha/atom
Space group   P4/mmm, No. 123
Crystal system   tetragonal
ρ   7.13 Mg/m³
Energy of formation   -0.334 eV per atom

a b c (Å): 4.1338 4.1338 6.9918
angles (deg): 90.00 90.00 90.00
Closest atoms and distances in Å follow each position.
Atoms (fractional coordinates):
La  0.0000  0.0000  0.2137  1 La 2.99, 4 Ge 3.28
La  0.0000  0.0000  0.7863  1 La 2.99, 4 Ge 3.28
Dy  0.5000  0.5000  0.5000  2 Ge 3.50, 8 La 3.54
Ge  0.5000  0.5000  0.0000  8 La 3.28, 2 Dy 3.50



# 3
Density functional theory data (PBE) for a relaxed structure of Nd2ScGa4Pt3.

Output
D(E_F)   7.12 states/eV/f.u.
Raw total energy   -0.203 Ha/atom
Space group   P-4m2, No. 115
Crystal system   tetragonal
ρ   9.85 Mg/m³
Energy of formation   -0.909 eV per atom

a b c (Å): 4.2255 4.2255 11.3061
angles (deg): 90.00 90.00 90.00
Closest atoms and distances in Å follow each position.
Atoms (fractional coordinates):
Nd  0.0000  0.5000  0.2371  4 Pt 3.23, 8 Ga 3.24-3.41
Nd  0.5000  0.0000  0.7629  4 Pt 3.23, 8 Ga 3.24-3.41
Sc  0.0000  0.0000  0.5000  4 Ga 2.73, 4 Pt 2.99
Ga  0.0000  0.0000  0.0000  4 Pt 2.56
Ga  0.0000  0.5000  0.6529  3 Pt 2.48-2.73, 2 Sc 2.73
Ga  0.5000  0.0000  0.3471  3 Pt 2.48-2.73, 2 Sc 2.73
Ga  0.5000  0.5000  0.0000  4 Pt 2.56
Pt  0.0000  0.5000  0.8725  5 Ga 2.48-2.56
Pt  0.5000  0.0000  0.1275  5 Ga 2.48-2.56
Pt  0.5000  0.5000  0.5000  4 Ga 2.73, 4 Sc 2.99



# 4
Density functional theory data (PBE) for a relaxed structure of HgAuSe2.

Output
D(E_F)   3.33 states/eV/f.u.
E_form (uncorrected)   186 meV/atom
Raw total energy   -0.090 Ha/atom
Space group   I-4m2, No. 119
Crystal system   tetragonal
ρ   7.97 Mg/m³

a b c (Å): 8.5561 8.5561 8.5561
angles (deg): 154.52 154.52 36.34
Closest atoms and distances in Å follow each position.
Atoms (fractional coordinates):
Hg  0.0000  0.0000  0.0000  4 Se 2.67
Au  0.7500  0.2500  0.5000  4 Se 2.67
Se  0.2500  0.7500  0.5000  4 Au 2.67
Se  0.5000  0.5000  0.0000  4 Hg 2.67



# 5
Density functional theory data (PBE) for a relaxed structure of Ta2ZnAs.

Output
Excess energy over the best structure of this formula in the dataset   0.09 eV/f.u.
D(E_F)   1.71 states/eV/f.u.
Raw total energy   -0.273 Ha/atom
Space group   Pm, No. 6
Crystal system   monoclinic
ρ   12.70 Mg/m³
Energy of formation   -0.032 eV per atom

a b c (Å): 3.5531 3.7814 5.1967
angles (deg): 90.00 109.92 90.00
Closest atoms and distances in Å follow each position.
Atoms (fractional coordinates):
Ta  0.0000  0.0000  0.0000  3 As 2.63-2.89, 4 Zn 2.68
Ta  0.3090  0.5000  0.6107  1 Zn 2.57, 4 As 2.69-2.70
Zn  0.5670  0.5000  0.1370  2 As 2.47, 5 Ta 2.57-2.68
As  0.7375  0.0000  0.4623  2 Zn 2.47, 5 Ta 2.63-2.70



# 6
Density functional theory data (PBE) for a relaxed structure of ZrMnBi2.

Output
Excess energy over the best structure of this formula in the dataset   0.00 eV/f.u.
D(E_F)   10.98 states/eV/f.u.
Raw total energy   -0.217 Ha/atom
Space group   Fm-3m, No. 225
Crystal system   cubic
ρ   10.73 Mg/m³
Energy of formation   0.464 eV per atom

a b c (Å): 4.9795 4.9795 4.9795
angles (deg): 60.00 60.00 60.00
Closest atoms and distances in Å follow each position.
Atoms (fractional coordinates):
Zr  0.0000  0.0000  0.0000  8 Bi 3.05
Mn  0.5000  0.5000  0.5000  8 Bi 3.05
Bi  0.2500  0.2500  0.2500  4 Zr 3.05, 4 Mn 3.05
Bi  0.7500  0.7500  0.7500  4 Zr 3.05, 4 Mn 3.05



# 7
Density functional theory data (PBE) for a relaxed structure of NdHo4Th5.

Output
D(E_F)   15.42 states/eV/f.u.
Raw total energy   -0.214 Ha/atom
Space group   C2/m, No. 12
Crystal system   monoclinic
ρ   9.84 Mg/m³
Energy of formation   0.207 eV per atom

a b c (Å): 11.3307 11.3307 8.3943
angles (deg): 92.12 92.12 17.92
Closest atoms and distances in Å follow each position.
Atoms (fractional coordinates):
Nd  0.0000  0.0000  0.0000  4 Ho 3.53, 2 Nd 3.53
Ho  0.1792  0.1792  0.0109  3 Th 3.27-3.55, 6 Ho 3.41-3.64
Ho  0.4074  0.4074  0.2578  4 Th 3.30-3.52, 4 Ho 3.41-3.53, 2 Nd 3.53
Ho  0.5926  0.5926  0.7422  4 Th 3.30-3.52, 4 Ho 3.41-3.53, 2 Nd 3.53
Ho  0.8208  0.8208  0.9891  3 Th 3.27-3.55, 6 Ho 3.41-3.64
Th  0.0000  0.0000  0.5000  4 Ho 3.35, 6 Th 3.48-3.53
Th  0.2642  0.2642  0.3366  2 Ho 3.27-3.30, 4 Th 3.34-3.53
Th  0.3848  0.3848  0.6703  7 Th 3.48-3.82, 3 Ho 3.52-3.55
Th  0.6152  0.6152  0.3297  7 Th 3.48-3.82, 3 Ho 3.52-3.55
Th  0.7358  0.7358  0.6634  2 Ho 3.27-3.30, 4 Th 3.34-3.53



# 8
Density functional theory data (PBE) for a relaxed structure of KMg2In4Ag.

Output
D(E_F)   2.96 states/eV/f.u.
Raw total energy   -0.085 Ha/atom
Space group   R-3m, No. 166
Crystal system   trigonal
ρ   4.81 Mg/m³
Energy of formation   -0.041 eV per atom

a b c (Å): 11.0926 11.0926 11.0926
angles (deg): 25.69 25.69 25.69
Closest atoms and distances in Å follow each position.
Atoms (fractional coordinates):
K  0.0000  0.0000  0.0000  6 In 3.67
Mg  0.2311  0.2311  0.2311  7 In 2.97-3.31
Mg  0.7689  0.7689  0.7689  7 In 2.97-3.31
In  0.1282  0.1282  0.1282  4 Mg 2.97-3.31, 3 Ag 3.11
In  0.4052  0.4052  0.4052  3 Mg 3.01, 1 Ag 3.05
In  0.5948  0.5948  0.5948  3 Mg 3.01, 1 Ag 3.05
In  0.8718  0.8718  0.8718  4 Mg 2.97-3.31, 3 Ag 3.11
Ag  0.5000  0.5000  0.5000  8 In 3.05-3.11



# 9
Density functional theory data (PBE) for a relaxed structure of PrLu2Sn.

Output
Excess energy over the best structure of this formula in the dataset   0.00 eV/f.u.
D(E_F)   4.95 states/eV/f.u.
Raw total energy   -0.178 Ha/atom
Space group   P4/mmm, No. 123
Crystal system   tetragonal
ρ   9.03 Mg/m³
Energy of formation   -0.385 eV per atom

a b c (Å): 4.8413 4.8413 4.7847
angles (deg): 90.00 90.00 90.00
Closest atoms and distances in Å follow each position.
Atoms (fractional coordinates):
Pr  0.0000  0.0000  0.0000  8 Lu 3.40, 4 Sn 3.42
Lu  0.0000  0.5000  0.5000  4 Sn 3.40, 4 Pr 3.40, 4 Lu 3.42
Lu  0.5000  0.0000  0.5000  4 Sn 3.40, 4 Pr 3.40, 4 Lu 3.42
Sn  0.5000  0.5000  0.0000  8 Lu 3.40, 4 Pr 3.42



# 10
Density functional theory data (PBE) for a relaxed structure of CdBr7.

Output
D(E_F)   10.54 states/eV/f.u.
E_form (uncorrected)   403 meV/atom
Raw total energy   -0.043 Ha/atom
Space group   Fm-3m, No. 225
Crystal system   cubic
ρ   5.27 Mg/m³

a b c (Å): 6.6913 6.6913 6.6913
angles (deg): 60.00 60.00 60.00
Closest atoms and distances in Å follow each position.
Atoms (fractional coordinates):
Cd  0.0000  0.0000  0.0000  12 Br 3.35
Br  0.0000  0.0000  0.5000  2 Cd 3.35, 10 Br 3.35
Br  0.0000  0.5000  0.0000  2 Cd 3.35, 10 Br 3.35
Br  0.0000  0.5000  0.5000  2 Cd 3.35, 10 Br 3.35
Br  0.5000  0.0000  0.0000  2 Cd 3.35, 10 Br 3.35
Br  0.5000  0.0000  0.5000  2 Cd 3.35, 10 Br 3.35
Br  0.5000  0.5000  0.0000  2 Cd 3.35, 10 Br 3.35
Br  0.5000  0.5000  0.5000  12 Br 3.35



# 11
Density functional theory data (PBE) for a relaxed structure of TbHoS3.

Output
Excess energy over the best structure of this formula in the dataset   0.00 eV/f.u.
E_form (uncorrected)   -2045 meV/atom
Raw total energy   -0.234 Ha/atom
Space group   P2_1/m, No. 11
Crystal system   monoclinic
ρ   6.00 Mg/m³

a b c (Å): 7.7431 3.8848 7.7514
angles (deg): 90.00 94.40 90.00
Closest atoms and distances in Å follow each position.
Atoms (fractional coordinates):
Tb  0.2311  0.2500  0.3818  8 S 2.75-3.02
Tb  0.7689  0.7500  0.6182  8 S 2.75-3.02
Ho  0.3181  0.2500  0.8546  6 S 2.60-2.79
Ho  0.6819  0.7500  0.1454  6 S 2.60-2.79
S  0.0179  0.2500  0.6781  1 Ho 2.60, 2 Tb 2.75
S  0.3209  0.7500  0.1041  3 Ho 2.74-2.79, 2 Tb 3.02
S  0.3861  0.7500  0.6223  2 Ho 2.73, 3 Tb 2.89-2.97
S  0.6139  0.2500  0.3777  2 Ho 2.73, 3 Tb 2.89-2.97
S  0.6791  0.2500  0.8959  3 Ho 2.74-2.79, 2 Tb 3.02
S  0.9821  0.7500  0.3219  1 Ho 2.60, 2 Tb 2.75



# 12
Density functional theory data (PBE) for a relaxed structure of Sr2LiPd2.

Output
Excess energy over the best structure of this formula in the dataset   0.36 eV/f.u.
D(E_F)   2.46 states/eV/f.u.
Raw total energy   -0.132 Ha/atom
Space group   P4/mbm, No. 127
Crystal system   tetragonal
ρ   4.93 Mg/m³
Energy of formation   -0.456 eV per atom

a b c (Å): 7.8741 7.8741 4.2901
angles (deg): 90.00 90.00 90.00
Closest atoms and distances in Å follow each position.
Atoms (fractional coordinates):
Sr  0.1702  0.3298  0.0000  6 Pd 3.12-3.19
Sr  0.3298  0.8298  0.0000  6 Pd 3.12-3.19
Sr  0.6702  0.1702  0.0000  6 Pd 3.12-3.19
Sr  0.8298  0.6702  0.0000  6 Pd 3.12-3.19
Li  0.0000  0.0000  0.5000  4 Pd 3.11
Li  0.5000  0.5000  0.5000  4 Pd 3.11
Pd  0.1262  0.6262  0.5000  1 Pd 2.81, 2 Li 3.11, 2 Sr 3.12
Pd  0.3738  0.1262  0.5000  1 Pd 2.81, 2 Li 3.11, 2 Sr 3.12
Pd  0.6262  0.8738  0.5000  1 Pd 2.81, 2 Li 3.11, 2 Sr 3.12
Pd  0.8738  0.3738  0.5000  1 Pd 2.81, 2 Li 3.11, 2 Sr 3.12